Entry 1:
Computed, not measured: an optimized crystal structure of Cd2TeBr at the PBE level of DFT. Values from VASP.

```
&SYSTEM
  ibrav = 0, nat = 8, ntyp = 3
/
ATOMIC_SPECIES
Cd 112.41 Cd.upf
Te 127.60 Te.upf
Br 79.90 Br.upf
ATOMIC_POSITIONS angstrom
Cd 1.295 0.000 1.590
Cd -0.131 2.194 5.352
Cd 5.150 2.194 1.590
Cd 3.724 0.000 5.352
Te 0.000 2.194 0.000
Te 3.855 0.000 0.000
Br -1.345 0.000 3.471
Br 2.509 2.194 3.471
CELL_PARAMETERS angstrom
7.710 0.000 0.000
0.000 4.387 0.000
-2.691 0.000 6.942
```

SG: C2/m (12)
Theoretical density in g cm⁻³: 6.1
Distance to the lowest polymorph of the same formula in meV per atom: 25
V in A^3/atom: 29.4
Magnetization in μB per cell: 0.0
E_form (uncorrected) in meV per atom: -364
N(E_F) in states/eV/f.u.: 1.3

---

Entry 2:
Computed, not measured: an optimized crystal structure of CdTeBr2 at the PBE level of DFT. Values from VASP.

```
&SYSTEM
  ibrav = 0, nat = 8, ntyp = 3
/
ATOMIC_SPECIES
Cd 112.41 Cd.upf
Te 127.60 Te.upf
Br 79.90 Br.upf
ATOMIC_POSITIONS angstrom
Cd 0.000 0.000 0.000
Cd 3.432 4.418 0.000
Te 0.000 4.418 0.000
Te 3.432 0.000 0.000
Br 1.716 2.209 1.786
Br 1.716 6.627 1.786
Br 5.147 2.209 1.786
Br 5.147 6.627 1.786
CELL_PARAMETERS angstrom
6.863 0.000 0.000
0.000 8.836 0.000
0.000 0.000 3.571
```

SG: Cmmm (65)
Theoretical density in g cm⁻³: 6.1
Distance to the lowest polymorph of the same formula in meV per atom: 524
V in A^3/atom: 27.1
Magnetization in μB per cell: 0.0
E_form (uncorrected) in meV per atom: 134
N(E_F) in states/eV/f.u.: 2.8